Record 1
! CuSi2Br (PBE, relaxed); values from VASP
! Calculated total energy in eV per cell: -15.0
! Size of the total moment in μB/f.u.: 0.00
&SYSTEM
  ibrav = 0, nat = 4, ntyp = 3
/
ATOMIC_SPECIES
Cu 63.55 Cu.upf
Si 28.09 Si.upf
Br 79.90 Br.upf
CELL_PARAMETERS angstrom
3.665 0.000 0.000
0.000 3.665 0.000
0.000 0.000 5.307
ATOMIC_POSITIONS angstrom
Cu 0.000 0.000 0.000
Si 0.000 0.000 2.654
Si 1.833 1.833 2.654
Br 1.833 1.833 0.000


Record 2
! CuSi2Br (PBE, relaxed); values from VASP
! Calculated total energy in eV per cell: -16.0
! Size of the total moment in μB/f.u.: 0.00
&SYSTEM
  ibrav = 0, nat = 4, ntyp = 3
/
ATOMIC_SPECIES
Cu 63.55 Cu.upf
Si 28.09 Si.upf
Br 79.90 Br.upf
CELL_PARAMETERS angstrom
3.360 -1.825 0.000
3.360 1.825 0.000
-0.379 0.000 6.684
ATOMIC_POSITIONS angstrom
Cu 0.000 0.000 0.000
Si 1.771 0.000 5.516
Si 3.919 0.000 4.555
Br 0.097 0.000 2.385


Record 3
! CuSi2Br (PBE, relaxed); values from VASP
! Calculated total energy in eV per cell: -13.6
! Size of the total moment in μB/f.u.: 0.00
&SYSTEM
  ibrav = 0, nat = 4, ntyp = 3
/
ATOMIC_SPECIES
Cu 63.55 Cu.upf
Si 28.09 Si.upf
Br 79.90 Br.upf
CELL_PARAMETERS angstrom
2.846 -4.003 0.000
2.846 4.003 0.000
0.000 0.000 3.078
ATOMIC_POSITIONS angstrom
Cu 0.000 0.000 0.000
Si 1.423 2.002 1.539
Si 1.423 -2.002 1.539
Br 2.846 0.000 0.000


no.,formation energy (no corrections) (meV/atom)
1,393.0
2,148.9
3,763.8